Record 1
# AlNiS3

A relaxed AlNiS3 crystal (PBE, Alexandria).

The value obtained for the density of states at the Fermi level is 3.29 states/eV/f.u. Its distance to the lowest polymorph of the same formula is 0.000 eV/atom. The crystal system is cubic.

The space group is Pm-3m (No. 221) and the conventional cell measures 4.421, 4.421 and 4.421 Å, with angles of 90.00, 90.00 and 90.00 degrees. The asymmetric unit holds Al at (0.000, 0.000, 0.000), Ni at (0.500, 0.500, 0.500) and S at (0.000, 0.500, 0.500).

Record 2
# AlNi2S

A relaxed AlNi2S crystal (PBE, Alexandria).

The value obtained for the density of states at the Fermi level is 2.09 states/eV/f.u. Its distance to the lowest polymorph of the same formula is 0.000 eV/atom. The crystal system is tetragonal.

The space group is I-42d (No. 122) and the conventional cell measures 3.831, 3.831 and 14.915 Å, with angles of 90.00, 90.00 and 90.00 degrees. The asymmetric unit holds Al at (0.000, 0.000, 0.000), Ni at (0.213, 0.250, 0.625) and S at (0.000, 0.000, 0.500).

Record 3
# Al2TcNiS

A relaxed Al2TcNiS crystal (PBE, Alexandria).

The value obtained for the density of states at the Fermi level is 2.40 states/eV/f.u. The crystal system is tetragonal.

The space group is P4/mmm (No. 123) and the conventional cell measures 4.570, 4.570 and 4.076 Å, with angles of 90.00, 90.00 and 90.00 degrees. The asymmetric unit holds Al at (0.000, 0.500, 0.000), Tc at (0.000, 0.000, 0.500), Ni at (0.500, 0.500, 0.000) and S at (0.500, 0.500, 0.500).

Record 4
# Y3AlNiS7

A relaxed Y3AlNiS7 crystal (PBE, Alexandria).

The value obtained for the density of states at the Fermi level is 0.39 states/eV/f.u. The crystal system is hexagonal.

The space group is P6_3 (No. 173) and the conventional cell measures 9.5666, 9.5666 and 6.2025 Å, with angles of 90.00, 90.00 and 120.00 degrees. The asymmetric unit holds Y at (0.1560, 0.3762, 0.0000), Al at (0.3333, 0.6667, 0.4263), Ni at (0.0000, 0.0000, 0.3319), S at (0.0892, 0.5678, 0.2719), S at (0.1001, 0.2302, 0.5961) and S at (0.3333, 0.6667, 0.7881).

Record 5
# AlNi14Sb

A relaxed AlNi14Sb crystal (PBE, Alexandria).

The value obtained for the density of states at the Fermi level is 27.65 states/eV/f.u. The crystal system is tetragonal.

The space group is P4/mmm (No. 123) and the conventional cell measures 5.101, 5.101 and 7.076 Å, with angles of 90.00, 90.00 and 90.00 degrees. The asymmetric unit holds Al at (0.000, 0.000, 0.000), Ni at (0.000, 0.000, 0.500), Ni at (0.000, 0.500, 0.000), Ni at (0.000, 0.500, 0.500), Ni at (0.246, 0.246, 0.260), Ni at (0.500, 0.500, 0.500) and Sb at (0.500, 0.500, 0.000).

Record 6
# AlNiSb4

A relaxed AlNiSb4 crystal (PBE, Alexandria).

The value obtained for the density of states at the Fermi level is 9.05 states/eV/f.u. The crystal system is cubic.

The space group is F-43m (No. 216) and the conventional cell measures 8.674, 8.674 and 8.674 Å, with angles of 90.00, 90.00 and 90.00 degrees. The asymmetric unit holds Al at (0.000, 0.000, 0.000), Ni at (0.250, 0.250, 0.750) and Sb at (0.125, 0.125, 0.375).

Record 7
# Al4NiSb

A relaxed Al4NiSb crystal (PBE, Alexandria).

The value obtained for the density of states at the Fermi level is 3.24 states/eV/f.u. The crystal system is cubic.

The space group is F-43m (No. 216) and the conventional cell measures 7.522, 7.522 and 7.522 Å, with angles of 90.00, 90.00 and 90.00 degrees. The asymmetric unit holds Al at (0.124, 0.124, 0.124), Ni at (0.250, 0.250, 0.750) and Sb at (0.000, 0.000, 0.500).

Record 8
# AlNi3Sb

A relaxed AlNi3Sb crystal (PBE, Alexandria).

The value obtained for the density of states at the Fermi level is 2.89 states/eV/f.u. Its distance to the lowest polymorph of the same formula is 0.000 eV/atom. The crystal system is hexagonal.

The space group is P-6m2 (No. 187) and the conventional cell measures 4.1274, 4.1274 and 4.9593 Å, with angles of 90.00, 90.00 and 120.00 degrees. The asymmetric unit holds Al at (0.0000, 0.0000, 0.0000), Ni at (0.0000, 0.0000, 0.5000), Ni at (0.3333, 0.6667, 0.2430) and Sb at (0.6667, 0.3333, 0.5000).

| no. | uncorrected formation energy (eV per atom) | E (eV/atom) |
| --- | --- | --- |
| 1 | 0.32 | -4.06 |
| 2 | -0.18 | -5.03 |
| 3 | 0.67 | -4.88 |
| 4 | -1.55 | -6.37 |
| 5 | -0.11 | -5.66 |
| 6 | 0.75 | -3.58 |
| 7 | 0.28 | -3.86 |
| 8 | -0.22 | -5.26 |